Crystalline LaHgB at its relaxed geometry, computed with GGA-PBE.

a = 3.8242 Å, b = 4.6909 Å, c = 7.3082 Å
α = 94.94°, β = 90.04°, γ = 90.29°
Last column: nearest neighbours and their distance in Å.
Fractional coordinates of all 6 atoms:
La: 0.0027 0.2864 0.3108  4 B 2.85-2.93
La: 0.9973 0.7136 0.6892  4 B 2.85-2.93
Hg: 0.4987 0.2390 0.8893  1 B 2.31
Hg: 0.5013 0.7610 0.1107  1 B 2.31
B: 0.4982 0.8659 0.4254  1 B 1.59
B: 0.5018 0.1341 0.5746  1 B 1.59

Computed properties:
energy: -4.15 eV/atom
offset from the most stable computed form: 21.1 kJ per mole of atoms
ΔE_f: -0.1777 eV per atom

***

Crystalline LaHg3B at its relaxed geometry, computed with GGA-PBE.

a = 6.1664 Å, b = 6.1664 Å, c = 6.1664 Å
α = 90.00°, β = 90.00°, γ = 90.00°
Last column: nearest neighbours and their distance in Å.
Fractional coordinates of all 5 atoms:
La: 0.0000 0.0000 0.0000  6 Hg 3.08
Hg: 0.0000 0.0000 0.5000  2 La 3.08
Hg: 0.0000 0.5000 0.0000  2 La 3.08
Hg: 0.5000 0.0000 0.0000  2 La 3.08
B: 0.5000 0.5000 0.5000  12 Hg 4.36

Computed properties:
energy: -1.10 eV/atom
offset from the most stable computed form: 109.4 kJ per mole of atoms
ΔE_f: 1.3995 eV per atom

***

Crystalline LaHgB at its relaxed geometry, computed with GGA-PBE.

a = 10.3884 Å, b = 3.9438 Å, c = 6.6781 Å
α = 90.00°, β = 90.00°, γ = 90.00°
Last column: nearest neighbours and their distance in Å.
Fractional coordinates of all 12 atoms:
La: 0.1578 0.2500 0.0825  4 B 2.74-2.86
La: 0.3422 0.7500 0.5825  4 B 2.74-2.86
La: 0.6578 0.2500 0.4175  4 B 2.74-2.86
La: 0.8422 0.7500 0.9175  4 B 2.74-2.86
Hg: 0.0629 0.2500 0.6286  2 B 2.36
Hg: 0.4371 0.7500 0.1286  2 B 2.36
Hg: 0.5629 0.2500 0.8714  2 B 2.36
Hg: 0.9371 0.7500 0.3714  2 B 2.36
B: 0.1083 0.7500 0.8088  2 Hg 2.36
B: 0.3917 0.2500 0.3088  2 Hg 2.36
B: 0.6083 0.7500 0.6912  2 Hg 2.36
B: 0.8917 0.2500 0.1912  2 Hg 2.36

Computed properties:
energy: -3.84 eV/atom
offset from the most stable computed form: 50.7 kJ per mole of atoms
ΔE_f: 0.1293 eV per atom

***

Crystalline LaHgB at its relaxed geometry, computed with GGA-PBE.

a = 6.8856 Å, b = 6.8856 Å, c = 6.8856 Å
α = 90.00°, β = 90.00°, γ = 90.00°
Last column: nearest neighbours and their distance in Å.
Fractional coordinates of all 12 atoms:
La: 0.0000 0.0000 0.0000  4 B 2.98, 4 Hg 2.98
La: 0.0000 0.5000 0.5000  4 B 2.98, 4 Hg 2.98
La: 0.5000 0.0000 0.5000  4 B 2.98, 4 Hg 2.98
La: 0.5000 0.5000 0.0000  4 B 2.98, 4 Hg 2.98
Hg: 0.2500 0.2500 0.7500  4 La 2.98
Hg: 0.2500 0.7500 0.2500  4 La 2.98
Hg: 0.7500 0.2500 0.2500  4 La 2.98
Hg: 0.7500 0.7500 0.7500  4 La 2.98
B: 0.2500 0.2500 0.2500  4 La 2.98
B: 0.2500 0.7500 0.7500  4 La 2.98
B: 0.7500 0.2500 0.7500  4 La 2.98
B: 0.7500 0.7500 0.2500  4 La 2.98

Computed properties:
energy: -3.20 eV/atom
offset from the most stable computed form: 112.0 kJ per mole of atoms
ΔE_f: 0.7645 eV per atom

***

Crystalline LaMgHgB2 at its relaxed geometry, computed with GGA-PBE.

a = 4.5589 Å, b = 4.5589 Å, c = 4.9173 Å
α = 90.00°, β = 90.00°, γ = 90.00°
Last column: nearest neighbours and their distance in Å.
Fractional coordinates of all 5 atoms:
La: 0.0000 0.0000 0.0000  4 Mg 3.22, 8 B 3.35
Mg: 0.5000 0.5000 0.0000  2 Hg 2.46
Hg: 0.5000 0.5000 0.5000  4 B 2.28, 2 Mg 2.46
B: 0.0000 0.5000 0.5000  2 Hg 2.28
B: 0.5000 0.0000 0.5000  2 Hg 2.28

Computed properties:
energy: -2.92 eV/atom
ΔE_f: 1.1135 eV per atom

***

Crystalline LaHgB2O at its relaxed geometry, computed with GGA-PBE.

a = 4.0456 Å, b = 4.0456 Å, c = 5.5260 Å
α = 90.00°, β = 90.00°, γ = 90.00°
Last column: nearest neighbours and their distance in Å.
Fractional coordinates of all 5 atoms:
La: 0.0000 0.0000 0.0000  4 O 2.86
Hg: 0.5000 0.5000 0.5000  4 B 2.02
B: 0.0000 0.5000 0.5000  2 Hg 2.02
B: 0.5000 0.0000 0.5000  2 Hg 2.02
O: 0.5000 0.5000 0.0000  2 Hg 2.76, 4 La 2.86

Computed properties:
energy: -4.16 eV/atom
formation energy from raw total energies: 0.545 eV per atom

***

Crystalline LaHg2BP at its relaxed geometry, computed with GGA-PBE.

a = 4.3776 Å, b = 4.3776 Å, c = 5.8564 Å
α = 90.00°, β = 90.00°, γ = 90.00°
Last column: nearest neighbours and their distance in Å.
Fractional coordinates of all 5 atoms:
La: 0.0000 0.0000 0.0000  4 P 3.10
Hg: 0.0000 0.5000 0.5000  2 B 2.19
Hg: 0.5000 0.0000 0.5000  2 B 2.19
B: 0.5000 0.5000 0.5000  4 Hg 2.19
P: 0.5000 0.5000 0.0000  2 B 2.93, 4 La 3.10

Computed properties:
energy: -3.45 eV/atom
ΔE_f: 0.0778 eV per atom

***

Crystalline LiHg3B at its relaxed geometry, computed with GGA-PBE.

a = 4.7159 Å, b = 4.7159 Å, c = 4.7159 Å
α = 90.00°, β = 90.00°, γ = 90.00°
Last column: nearest neighbours and their distance in Å.
Fractional coordinates of all 5 atoms:
Li: 0.0000 0.0000 0.0000  12 Hg 3.33
Hg: 0.0000 0.5000 0.5000  2 B 2.36
Hg: 0.5000 0.0000 0.5000  2 B 2.36
Hg: 0.5000 0.5000 0.0000  2 B 2.36
B: 0.5000 0.5000 0.5000  6 Hg 2.36

Computed properties:
energy: -1.50 eV/atom
offset from the most stable computed form: 0.0 kJ per mole of atoms
ΔE_f: 0.3944 eV per atom